No. 1
Density functional theory data (PBE) for a relaxed NdSmPaN3 crystal.

Unit cell a=3.5174 b=6.0229 c=9.4588 alpha=95.94 beta=90.00 gamma=90.00
Closest atoms and distances in Å follow each position.
Positions (direct):
N  0.2500  0.9826  0.8685  3 Pa 2.32-2.42
N  0.7500  0.2146  0.4544  3 Sm 2.39-2.43, 2 Nd 2.53
N  0.7500  0.5275  0.1367  3 Pa 2.36-2.42
N  0.2500  0.7854  0.5456  3 Sm 2.39-2.43, 2 Nd 2.53
Nd  0.7500  0.7128  0.7273  6 N 2.53-2.69
Sm  0.7500  0.8170  0.3775  3 N 2.39-2.43
N  0.2500  0.4725  0.8633  3 Pa 2.36-2.42
Pa  0.7500  0.2421  0.9460  6 N 2.32-2.42
N  0.7500  0.0174  0.1315  3 Pa 2.32-2.42
Nd  0.2500  0.2872  0.2727  6 N 2.53-2.69
Sm  0.2500  0.1830  0.6225  3 N 2.39-2.43
Pa  0.2500  0.7579  0.0540  6 N 2.32-2.42

- ΔE_f (raw) (eV/atom) = -1.392
- E_tot (eV per atom) = -8.72



No. 2
Density functional theory data (PBE) for a relaxed NdSm2PaN4 crystal.

Unit cell a=3.5868 b=6.1985 c=6.1680 alpha=109.23 beta=90.00 gamma=90.00
Closest atoms and distances in Å follow each position.
Positions (direct):
Sm  0.5000  0.0000  0.5000  6 N 2.50-2.52
Pa  0.0000  0.0000  0.0000  6 N 2.35-2.43
Nd  0.5000  0.5000  0.0000  6 N 2.55-2.56
N  0.0000  0.7706  0.2368  1 Pa 2.35, 2 Sm 2.52, 2 Nd 2.56
N  0.5000  0.2270  0.2309  2 Pa 2.43, 3 Sm 2.50-2.64, 1 Nd 2.55
Sm  0.0000  0.5000  0.5000  6 N 2.64-2.69
N  0.5000  0.7730  0.7691  2 Pa 2.43, 3 Sm 2.50-2.64, 1 Nd 2.55
N  0.0000  0.2294  0.7632  1 Pa 2.35, 2 Sm 2.52, 2 Nd 2.56

- ΔE_f (raw) (eV/atom) = -1.543
- E_tot (eV per atom) = -8.67



No. 3
Density functional theory data (PBE) for a relaxed Nd2PaSnN5 crystal.

Unit cell a=3.5354 b=7.4709 c=10.6841 alpha=90.00 beta=90.00 gamma=103.69
Closest atoms and distances in Å follow each position.
Positions (direct):
N  0.4963  0.9926  0.7781  1 Sn 2.08
N  0.5037  0.0074  0.2781  1 Sn 2.08
N  0.6945  0.3890  0.8731  2 Pa 2.29
N  0.6293  0.2587  0.5050  1 Sn 2.16, 1 Pa 2.24
N  0.0566  0.1132  0.0613  2 Sn 2.09
N  0.3055  0.6110  0.3731  2 Pa 2.29
Nd  0.8893  0.7785  0.1960  8 N 2.56-2.86
N  0.3707  0.7413  0.0050  1 Sn 2.16, 1 Pa 2.24
Nd  0.1107  0.2215  0.6960  8 N 2.56-2.86
Sn  0.4829  0.9658  0.4711  4 N 2.08-2.16
N  0.9434  0.8868  0.5613  2 Sn 2.09
Pa  0.2166  0.4331  0.0063  6 N 2.24-2.40
Pa  0.7834  0.5669  0.5063  6 N 2.24-2.40
Sn  0.5171  0.0342  0.9711  4 N 2.08-2.16
Nd  0.8711  0.7422  0.7903  6 N 2.54-2.71
N  0.2825  0.5650  0.6426  2 Pa 2.29, 1 Nd 2.56
Nd  0.1289  0.2578  0.2903  6 N 2.54-2.71
N  0.7175  0.4350  0.1426  2 Pa 2.29, 1 Nd 2.56

- ΔE_f (raw) (eV/atom) = -1.028
- E_tot (eV per atom) = -8.21



No. 4
Density functional theory data (PBE) for a relaxed SrNdPaN3 crystal.

Unit cell a=3.6330 b=6.1675 c=9.5182 alpha=100.73 beta=90.00 gamma=90.00
Closest atoms and distances in Å follow each position.
Positions (direct):
Nd  0.7500  0.8443  0.3636  4 N 2.36-2.63
N  0.2500  0.9777  0.8755  3 Pa 2.25-2.45
N  0.7500  0.2259  0.4926  3 Nd 2.36-2.44
Sr  0.2500  0.3325  0.3023  7 N 2.73-3.04
N  0.7500  0.5424  0.1282  3 Pa 2.25-2.49
N  0.7500  0.0223  0.1245  3 Pa 2.25-2.45
N  0.2500  0.7741  0.5074  3 Nd 2.36-2.44
Sr  0.7500  0.6675  0.6977  7 N 2.73-3.04
Pa  0.7500  0.2369  0.9572  6 N 2.25-2.49
N  0.2500  0.4576  0.8718  3 Pa 2.25-2.49
Nd  0.2500  0.1557  0.6364  4 N 2.36-2.63
Pa  0.2500  0.7631  0.0428  6 N 2.25-2.49

- ΔE_f (raw) (eV/atom) = -1.232
- E_tot (eV per atom) = -8.05



No. 5
Density functional theory data (PBE) for a relaxed Sr3NdPa3N8 crystal.

Unit cell a=7.2228 b=7.2228 c=7.3234 alpha=119.55 beta=90.00 gamma=120.00
Closest atoms and distances in Å follow each position.
Positions (direct):
N  0.2902  0.0537  0.3173  2 Pa 2.31, 1 Nd 2.46
N  0.7636  0.5271  0.3173  2 Pa 2.31, 1 Nd 2.46
Sr  0.5000  0.5000  0.0000  6 N 2.72-2.87
N  0.7636  0.0537  0.3173  2 Pa 2.31, 1 Nd 2.46
N  0.2364  0.9463  0.6827  2 Pa 2.31, 1 Nd 2.46
N  0.7369  0.4737  0.7105  3 Pa 2.44, 3 Sr 2.72
Pa  0.5000  0.5000  0.5000  6 N 2.31-2.44
Nd  0.0000  0.0000  0.5000  6 N 2.46
N  0.2364  0.4729  0.6827  2 Pa 2.31, 1 Nd 2.46
Pa  0.0000  0.5000  0.5000  6 N 2.31-2.44
Pa  0.5000  0.0000  0.5000  6 N 2.31-2.44
N  0.7098  0.9463  0.6827  2 Pa 2.31, 1 Nd 2.46
Sr  0.0000  0.5000  0.0000  6 N 2.72-2.87
N  0.2631  0.5263  0.2895  3 Pa 2.44, 3 Sr 2.72
Sr  0.0000  0.0000  0.0000  6 N 2.72-2.87

- ΔE_f (raw) (eV/atom) = -1.274
- E_tot (eV per atom) = -8.27



No. 6
Density functional theory data (PBE) for a relaxed Sr4NdPa3N8 crystal.

Unit cell a=7.2687 b=7.3332 c=7.2688 alpha=119.71 beta=120.00 gamma=90.00
Closest atoms and distances in Å follow each position.
Positions (direct):
Sr  0.5000  0.0000  0.0000  6 N 2.66
N  0.7090  0.6979  0.9535  2 Pa 2.35, 1 Nd 2.54
Pa  0.5000  0.5000  0.0000  6 N 2.35-2.41
N  0.2445  0.6979  0.9535  2 Pa 2.35, 1 Nd 2.54
Pa  0.0000  0.5000  0.5000  6 N 2.35-2.41
Pa  0.5000  0.5000  0.5000  6 N 2.35-2.41
Nd  0.0000  0.5000  0.0000  6 N 2.54
Sr  0.0000  0.0000  0.5000  6 N 2.78-2.84
N  0.2444  0.6979  0.4888  2 Pa 2.35, 1 Nd 2.54
N  0.7555  0.3021  0.0465  2 Pa 2.35, 1 Nd 2.54
N  0.2910  0.3021  0.0465  2 Pa 2.35, 1 Nd 2.54
Sr  0.5000  0.0000  0.5000  6 N 2.78-2.84
N  0.7325  0.6973  0.4650  3 Pa 2.41
N  0.7556  0.3021  0.5112  2 Pa 2.35, 1 Nd 2.54
N  0.2675  0.3027  0.5350  3 Pa 2.41
Sr  0.0000  0.0000  0.0000  6 N 2.78-2.84

- ΔE_f (raw) (eV/atom) = -1.333
- E_tot (eV per atom) = -7.99



No. 7
Density functional theory data (PBE) for a relaxed SrNd2PaN4 crystal.

Unit cell a=3.6411 b=6.3003 c=6.2681 alpha=109.13 beta=90.00 gamma=90.00
Closest atoms and distances in Å follow each position.
Positions (direct):
Sr  0.5000  0.5000  0.0000  6 N 2.62-2.66
N  0.5000  0.2253  0.2353  2 Pa 2.48, 3 Nd 2.51-2.68, 1 Sr 2.62
Nd  0.0000  0.5000  0.5000  6 N 2.68-2.85
Pa  0.0000  0.0000  0.0000  6 N 2.27-2.48
Nd  0.5000  0.0000  0.5000  6 N 2.51-2.53
N  0.0000  0.7907  0.2337  1 Pa 2.27, 2 Nd 2.53
N  0.0000  0.2093  0.7663  1 Pa 2.27, 2 Nd 2.53
N  0.5000  0.7747  0.7647  2 Pa 2.48, 3 Nd 2.51-2.68, 1 Sr 2.62

- ΔE_f (raw) (eV/atom) = -1.333
- E_tot (eV per atom) = -8.08



No. 8
Density functional theory data (PBE) for a relaxed SrNdPa4N8 crystal.

Unit cell a=7.0971 b=7.0971 c=7.0640 alpha=59.85 beta=59.85 gamma=60.00
Closest atoms and distances in Å follow each position.
Positions (direct):
Pa  0.0021  0.0021  0.5031  6 N 2.21-2.45
Sr  0.3788  0.3788  0.8637  4 N 2.54-2.62
N  0.2288  0.7462  0.2787  3 Pa 2.26-2.41
Pa  0.4927  0.0021  0.5031  6 N 2.21-2.45
Pa  0.6198  0.6198  0.1407  4 N 2.26-2.39
Pa  0.0021  0.4927  0.5031  6 N 2.21-2.45
N  0.2273  0.2273  0.3182  3 Pa 2.27
N  0.7580  0.7580  0.7261  4 Pa 2.39-2.45
N  0.8177  0.2399  0.7024  2 Pa 2.21, 1 Nd 2.43
N  0.7462  0.7462  0.2787  3 Pa 2.26-2.41
N  0.2399  0.8177  0.7024  2 Pa 2.21, 1 Nd 2.43
N  0.2399  0.2399  0.7024  2 Pa 2.21, 1 Nd 2.43
N  0.7462  0.2288  0.2787  3 Pa 2.26-2.41
Nd  0.0005  0.0005  0.9986  6 N 2.43-2.55

- ΔE_f (raw) (eV/atom) = -1.467
- E_tot (eV per atom) = -9.40



No. 9
Density functional theory data (PBE) for a relaxed SrNd3Pa4N12 crystal.

Unit cell a=7.4582 b=7.4582 c=7.4582 alpha=109.47 beta=109.47 gamma=109.47
Closest atoms and distances in Å follow each position.
Positions (direct):
N  0.5040  0.2968  0.2071  2 Pa 2.22
Pa  0.5000  0.0000  0.0000  6 N 2.22
Pa  0.0000  0.5000  0.0000  6 N 2.22
N  0.2071  0.5040  0.2968  2 Pa 2.22
N  0.7032  0.7929  0.4960  2 Pa 2.22
Pa  0.0000  0.0000  0.5000  6 N 2.22
Nd  0.5000  0.0000  0.5000  4 N 2.50
N  0.2968  0.7929  0.0897  2 Pa 2.22
N  0.0897  0.2968  0.7929  2 Pa 2.22
Nd  0.0000  0.5000  0.5000  4 N 2.50
N  0.4960  0.7032  0.7929  2 Pa 2.22
N  0.7929  0.0897  0.2968  2 Pa 2.22
N  0.2071  0.9103  0.7032  2 Pa 2.22
N  0.7032  0.2071  0.9103  2 Pa 2.22
Sr  0.0000  0.0000  0.0000  12 N 3.12
N  0.7929  0.4960  0.7032  2 Pa 2.22
Pa  0.5000  0.5000  0.5000  6 N 2.22
Nd  0.5000  0.5000  0.0000  4 N 2.50
N  0.9103  0.7032  0.2071  2 Pa 2.22
N  0.2968  0.2071  0.5040  2 Pa 2.22

- ΔE_f (raw) (eV/atom) = -1.104
- E_tot (eV per atom) = -8.80



No. 10
Density functional theory data (PBE) for a relaxed NdPaTaN4 crystal.

Unit cell a=5.6892 b=5.6973 c=6.8060 alpha=90.00 beta=114.71 gamma=90.00
Closest atoms and distances in Å follow each position.
Positions (direct):
Nd  0.6056  0.7500  0.2113  1 N 2.29
N  0.4205  0.7500  0.8410  1 Ta 1.98
N  0.5000  0.5000  0.5000  2 Ta 2.02
Ta  0.7398  0.2500  0.4796  5 N 1.98-2.02
N  0.0000  0.5000  0.5000  2 Ta 2.02
Nd  0.3944  0.2500  0.7887  1 N 2.29
N  0.9375  0.2500  0.8750  1 Pa 2.11
Pa  0.1083  0.2500  0.2166  1 N 2.11
N  0.5000  0.0000  0.5000  2 Ta 2.02
Pa  0.8917  0.7500  0.7834  1 N 2.11
Ta  0.2602  0.7500  0.5204  5 N 1.98-2.02
N  0.0625  0.7500  0.1250  1 Pa 2.11
N  0.0000  0.0000  0.5000  2 Ta 2.02
N  0.5795  0.2500  0.1590  1 Ta 1.98

- ΔE_f (raw) (eV/atom) = -1.283
- E_tot (eV per atom) = -9.77